# 1
! BiH3Ir | Alexandria | PBE | relaxed; values from VASP
&SYSTEM
  ibrav = 0, nat = 5, ntyp = 3
/
ATOMIC_SPECIES
Bi 208.98 Bi.upf
H 1.01 H.upf
Ir 192.22 Ir.upf
CELL_PARAMETERS angstrom
4.035 0.000 0.000
0.000 4.035 0.000
0.000 0.000 4.035
ATOMIC_POSITIONS angstrom
Bi 0.000 0.000 0.000
H 0.000 0.000 2.017
H 0.000 2.017 0.000
H 2.017 0.000 0.000
Ir 2.017 2.017 2.017
! Energy = -15.5 eV per cell
! Magnetic moment = 1.68 μB per cell
! Crystal system = cubic



# 2
! Bi2HIr2 | Alexandria | PBE | relaxed; values from VASP
&SYSTEM
  ibrav = 0, nat = 10, ntyp = 3
/
ATOMIC_SPECIES
Bi 208.98 Bi.upf
H 1.01 H.upf
Ir 192.22 Ir.upf
CELL_PARAMETERS angstrom
5.519 0.000 0.000
0.000 5.519 0.000
0.000 0.000 6.344
ATOMIC_POSITIONS angstrom
Bi 0.000 2.760 1.586
Bi 0.000 2.760 4.758
Bi 2.760 0.000 1.586
Bi 2.760 0.000 4.758
H 0.000 0.000 0.000
H 2.760 2.760 3.172
Ir 0.000 0.000 1.829
Ir 0.000 0.000 4.516
Ir 2.760 2.760 1.343
Ir 2.760 2.760 5.001
! Energy = -53.2 eV per cell
! Magnetic moment = 0.00 μB per cell
! Crystal system = tetragonal



# 3
! Bi2HIr2 | Alexandria | PBE | relaxed; values from VASP
&SYSTEM
  ibrav = 0, nat = 10, ntyp = 3
/
ATOMIC_SPECIES
Bi 208.98 Bi.upf
H 1.01 H.upf
Ir 192.22 Ir.upf
CELL_PARAMETERS angstrom
7.849 0.000 0.000
0.000 7.849 0.000
0.000 0.000 3.288
ATOMIC_POSITIONS angstrom
Bi 1.297 2.627 0.000
Bi 2.627 6.552 0.000
Bi 5.222 1.297 0.000
Bi 6.552 5.222 0.000
H 0.000 0.000 1.644
H 3.925 3.925 1.644
Ir 1.013 4.937 1.644
Ir 2.912 1.013 1.644
Ir 4.937 6.837 1.644
Ir 6.837 2.912 1.644
! Energy = -50.0 eV per cell
! Magnetic moment = 0.00 μB per cell
! Crystal system = tetragonal



# 4
! BiHIr2 | Alexandria | PBE | relaxed; values from VASP
&SYSTEM
  ibrav = 0, nat = 16, ntyp = 3
/
ATOMIC_SPECIES
Bi 208.98 Bi.upf
H 1.01 H.upf
Ir 192.22 Ir.upf
CELL_PARAMETERS angstrom
6.264 0.000 0.000
0.000 6.264 0.000
0.000 0.000 6.264
ATOMIC_POSITIONS angstrom
Bi 0.000 0.000 0.000
Bi 0.000 3.132 3.132
Bi 3.132 0.000 3.132
Bi 3.132 3.132 0.000
H 0.000 0.000 3.132
H 0.000 3.132 0.000
H 3.132 0.000 0.000
H 3.132 3.132 3.132
Ir 1.566 1.566 1.566
Ir 1.566 1.566 4.698
Ir 1.566 4.698 1.566
Ir 1.566 4.698 4.698
Ir 4.698 1.566 1.566
Ir 4.698 1.566 4.698
Ir 4.698 4.698 1.566
Ir 4.698 4.698 4.698
! Energy = -85.3 eV per cell
! Magnetic moment = 0.00 μB per cell
! Crystal system = cubic



# 5
! Bi3H12Ir5 | Alexandria | PBE | relaxed; values from VASP
&SYSTEM
  ibrav = 0, nat = 80, ntyp = 3
/
ATOMIC_SPECIES
Bi 208.98 Bi.upf
H 1.01 H.upf
Ir 192.22 Ir.upf
CELL_PARAMETERS angstrom
-5.980 5.980 5.980
5.980 -5.980 5.980
5.980 5.980 -5.980
ATOMIC_POSITIONS angstrom
Bi 2.990 1.495 0.000
Bi 5.980 2.990 -1.495
Bi 1.495 0.000 2.990
Bi 7.475 0.000 2.990
Bi 0.000 2.990 1.495
Bi 2.990 -1.495 5.980
Bi 2.990 7.475 0.000
Bi 5.980 2.990 4.485
Bi -1.495 5.980 2.990
Bi 4.485 5.980 2.990
Bi 0.000 2.990 7.475
Bi 2.990 4.485 5.980
H 4.569 -3.502 3.678
H 10.381 0.689 -0.512
H 8.458 2.301 -1.411
H 6.491 -4.401 5.291
H 3.678 4.569 -3.502
H 5.291 -0.512 1.579
H 7.559 0.689 0.512
H 7.391 -2.478 3.678
H 5.291 6.491 -4.401
H 3.678 -1.411 3.502
H 3.502 3.678 -1.411
H 5.468 1.579 0.689
H 5.468 -1.579 5.291
H 9.481 2.301 1.411
H 5.291 5.468 -1.579
H 3.678 1.411 2.478
H 1.579 5.291 -0.512
H 7.391 2.478 2.301
H 3.678 7.391 -2.478
H 5.291 0.512 4.401
H 2.478 3.678 1.411
H 6.491 4.401 0.689
H 4.401 5.291 0.512
H 4.569 3.502 2.301
H 1.411 2.478 3.678
H 1.579 0.689 5.468
H -0.512 1.579 5.291
H 3.502 2.301 4.569
H 0.689 5.468 1.579
H 2.301 -1.411 8.458
H -1.411 3.502 3.678
H 4.401 0.689 6.491
H 2.301 4.569 3.502
H 0.689 0.512 7.559
H -3.502 3.678 4.569
H 0.512 7.559 0.689
H 0.512 4.401 5.291
H 2.478 2.301 7.391
H 2.301 7.391 2.478
H 0.689 -0.512 10.381
H -1.411 8.458 2.301
H -1.579 5.291 5.468
H 0.689 6.491 4.401
H 2.301 1.411 9.481
H -0.512 10.381 0.689
H -2.478 3.678 7.391
H -4.401 5.291 6.491
H 1.411 9.481 2.301
Ir 0.000 0.000 0.000
Ir 2.990 2.990 -2.990
Ir 2.990 -2.990 2.990
Ir 5.980 0.000 0.000
Ir 8.970 1.495 0.000
Ir 5.980 -2.990 4.485
Ir 4.485 5.980 -2.990
Ir 4.485 0.000 2.990
Ir 2.990 4.485 0.000
Ir 5.980 2.990 1.495
Ir -2.990 2.990 2.990
Ir 0.000 5.980 0.000
Ir 0.000 0.000 5.980
Ir 2.990 2.990 2.990
Ir 0.000 2.990 4.485
Ir 2.990 1.495 5.980
Ir 1.495 5.980 2.990
Ir 1.495 0.000 8.970
Ir 0.000 8.970 1.495
Ir -2.990 4.485 5.980
! Energy = -357.7 eV per cell
! Magnetic moment = 0.00 μB per cell
! Crystal system = cubic



# 6
! BiH2Ir | Alexandria | PBE | relaxed; values from VASP
&SYSTEM
  ibrav = 0, nat = 16, ntyp = 3
/
ATOMIC_SPECIES
Bi 208.98 Bi.upf
H 1.01 H.upf
Ir 192.22 Ir.upf
CELL_PARAMETERS angstrom
4.428 0.000 0.000
0.000 4.428 0.000
0.000 0.000 10.767
ATOMIC_POSITIONS angstrom
Bi 0.000 1.107 4.037
Bi 0.000 3.321 6.729
Bi 2.214 1.107 1.346
Bi 2.214 3.321 9.421
H 0.000 0.000 0.000
H 0.000 2.214 0.000
H 1.107 1.107 8.075
H 1.107 3.321 2.692
H 2.214 0.000 5.383
H 2.214 2.214 5.383
H 3.321 1.107 8.075
H 3.321 3.321 2.692
Ir 0.000 1.107 9.421
Ir 0.000 3.321 1.346
Ir 2.214 1.107 6.729
Ir 2.214 3.321 4.037
! Energy = -73.3 eV per cell
! Magnetic moment = 0.00 μB per cell
! Crystal system = tetragonal



# 7
! BiH2Ir | Alexandria | PBE | relaxed; values from VASP
&SYSTEM
  ibrav = 0, nat = 16, ntyp = 3
/
ATOMIC_SPECIES
Bi 208.98 Bi.upf
H 1.01 H.upf
Ir 192.22 Ir.upf
CELL_PARAMETERS angstrom
5.845 0.000 0.000
0.000 5.845 0.000
0.000 0.000 5.845
ATOMIC_POSITIONS angstrom
Bi 0.000 0.000 0.000
Bi 0.000 2.922 2.922
Bi 2.922 0.000 2.922
Bi 2.922 2.922 0.000
H 1.461 1.461 1.461
H 1.461 1.461 4.383
H 1.461 4.383 1.461
H 1.461 4.383 4.383
H 4.383 1.461 1.461
H 4.383 1.461 4.383
H 4.383 4.383 1.461
H 4.383 4.383 4.383
Ir 0.000 0.000 2.922
Ir 0.000 2.922 0.000
Ir 2.922 0.000 0.000
Ir 2.922 2.922 2.922
! Energy = -62.2 eV per cell
! Magnetic moment = 0.00 μB per cell
! Crystal system = cubic



# 8
! KBiH6Ir | Alexandria | PBE | relaxed; values from VASP
&SYSTEM
  ibrav = 0, nat = 9, ntyp = 4
/
ATOMIC_SPECIES
K 39.10 K.upf
Bi 208.98 Bi.upf
H 1.01 H.upf
Ir 192.22 Ir.upf
CELL_PARAMETERS angstrom
5.027 0.000 0.000
0.008 5.185 0.000
2.510 0.027 4.766
ATOMIC_POSITIONS angstrom
K 0.000 0.000 0.000
Bi 5.025 2.533 3.103
H 1.469 0.760 2.201
H 1.330 2.976 1.059
H 2.512 2.769 3.284
H 2.514 1.110 0.344
H 3.557 0.762 2.200
H 3.689 2.982 1.060
Ir 2.512 1.978 1.773
! Energy = -34.6 eV per cell
! Magnetic moment = 0.00 μB per cell
! Crystal system = triclinic